Material: KHg2SbAu
Method: DFT, PBE
State: relaxed

```
KHg2SbAu
1.0
5.8463 0.0000 0.0000
0.0000 5.8463 0.0000
0.0000 0.0000 5.3543
K Hg Sb Au
1 2 1 1
Cartesian
0.0000 0.0000 0.0000
0.0000 2.9232 2.6772
2.9232 0.0000 2.6772
2.9232 2.9232 2.6772
2.9232 2.9232 0.0000
```

Formation energy (no corrections) (eV/atom): -0.07
ΔE to the lowest computed polymorph (meV per atom): 0
Magnetization (μB per formula unit): 0.000

---

Material: UHgPd
Method: DFT, PBE
State: relaxed

```
UHgPd
1.0
3.4178 0.0000 0.0000
0.0000 3.4178 0.0000
0.0000 0.0000 10.1334
U Hg Pd
2 2 2
Cartesian
0.8544 0.8544 0.6249
2.5633 2.5633 9.5085
0.8544 0.8544 4.0703
2.5633 2.5633 6.0631
0.8544 0.8544 7.7055
2.5633 2.5633 2.4279
```

Electronic total energy (eV/cell): -34.35
Magnetization (μB per formula unit): 0.000

---

Material: BeTl2Ag
Method: DFT, PBE
State: relaxed

```
BeTl2Ag
1.0
3.2475 0.0000 0.0000
0.0000 3.2475 0.0000
0.0000 0.0000 8.4506
Be Tl Ag
1 2 1
Cartesian
0.0000 0.0000 0.0000
0.0000 0.0000 5.2380
1.6238 1.6238 2.2186
1.6238 1.6238 7.5950
```

Electronic total energy (eV/cell): -10.17
Magnetization (μB per formula unit): 0.000

---

Material: Tl8GeSe6
Method: DFT, PBE
State: relaxed

```
Tl8GeSe6
1.0
9.1872 0.0000 0.0000
0.0000 9.9392 0.0000
0.0000 0.0000 11.0017
Tl Ge Se
16 2 12
Cartesian
0.0000 1.8519 0.0000
0.0000 3.0347 4.1184
1.8796 7.0294 0.5244
1.9371 5.0541 8.5465
2.1179 8.9431 8.0164
2.4757 0.9961 2.5155
2.6565 4.8850 3.0456
2.7141 2.9098 6.0253
4.5936 6.9044 9.6193
4.5936 8.0873 5.5009
6.4732 2.9098 6.0253
6.5308 4.8850 3.0456
6.7115 0.9961 2.5155
7.0693 8.9431 8.0164
7.2501 5.0541 8.5465
7.3077 7.0294 0.5244
0.0000 7.8816 4.7346
4.5936 2.0576 10.2355
0.0000 4.7986 1.4063
0.0000 5.8180 5.9577
0.0000 8.7342 10.1387
0.0000 9.8900 6.0654
2.0176 8.0024 3.4083
2.5760 1.9368 8.9092
4.5936 0.0492 0.5646
4.5936 1.2050 4.6379
4.5936 4.1212 0.4568
4.5936 5.1406 6.9072
6.6112 1.9368 8.9092
7.1696 8.0024 3.4083
```

Formation energy (no corrections) (eV/atom): -0.32
Magnetization (μB per formula unit): 0.000

---

Material: La2TcRu
Method: DFT, PBE
State: relaxed

```
La2TcRu
1.0
3.5620 0.0000 0.0000
0.0000 3.5495 0.0000
-0.0429 0.0000 7.1153
La Tc Ru
2 1 1
Cartesian
-0.0089 0.0000 1.7739
3.5280 0.0000 5.3414
1.7596 1.7747 3.5576
1.7810 1.7747 0.0000
```

ΔE to the lowest computed polymorph (meV per atom): 204
Magnetization (μB per formula unit): 0.000

---

Material: CeCd4Pd2
Method: DFT, PBE
State: relaxed

```
CeCd4Pd2
1.0
8.0370 0.0000 0.0000
0.0000 8.0370 0.0000
0.0000 0.0000 4.7126
Ce Cd Pd
2 8 4
Cartesian
0.0000 0.0000 0.0000
4.0185 4.0185 2.3563
0.7074 2.7420 2.3563
1.2765 4.7259 0.0000
2.7420 0.7074 2.3563
3.3111 6.7605 0.0000
4.7259 1.2765 0.0000
5.2951 7.3296 2.3563
6.7605 3.3111 0.0000
7.3296 5.2951 2.3563
1.9533 6.0837 2.3563
2.0652 2.0652 0.0000
5.9718 5.9718 0.0000
6.0837 1.9533 2.3563
```

ΔE to the lowest computed polymorph (meV per atom): 0
Magnetization (μB per formula unit): 1.040